1.
The following is a GGA-PBE calculation of a geometry-optimized NdSmGeBr2 structure, from OQMD.

a b c (Å): 4.2693 4.2693 10.2455
angles (deg): 90.00 90.00 120.00
Element x y z (fractional)
Sm  0.3333  0.6667  0.6631
Br  0.6667  0.3333  0.8346
Nd  0.6667  0.3333  0.3379
Ge  0.0000  0.0000  0.5025
Br  0.3333  0.6667  0.1619

Summary:
**SG**: No. 156
**E_tot**: -24.7 eV per cell

=====

2.
The following is a GGA-PBE calculation of a geometry-optimized NdSmGe2Br2 structure, from OQMD.

a b c (Å): 4.3116 4.3116 11.1550
angles (deg): 90.00 90.00 120.00
Element x y z (fractional)
Sm  0.0000  0.0000  0.8223
Br  0.3333  0.6667  0.6633
Ge  0.6667  0.3333  0.9849
Ge  0.3333  0.6667  0.0113
Nd  0.0000  0.0000  0.1779
Br  0.6667  0.3333  0.3403

Summary:
**SG**: No. 156
**E_tot**: -29.3 eV per cell

=====

3.
The following is a GGA-PBE calculation of a geometry-optimized Pm4GeBr5 structure, from OQMD.

a b c (Å): 9.5499 9.5499 8.6350
angles (deg): 102.66 102.66 25.21
Element x y z (fractional)
Pm  0.3466  0.3466  0.9196
Pm  0.9996  0.9996  0.7734
Pm  0.0004  0.0004  0.2266
Br  0.5000  0.5000  0.5000
Pm  0.6534  0.6534  0.0804
Br  0.1665  0.1665  0.3298
Ge  0.5000  0.5000  0.0000
Br  0.1708  0.1708  0.8373
Br  0.8292  0.8292  0.1627
Br  0.8335  0.8335  0.6702

Summary:
**SG**: No. 12
**E_tot**: -47.2 eV per cell